5
Lattice="6.058 0.000 0.000 0.000 6.058 0.000 0.000 0.000 6.058" Properties=species:S:1:pos:R:3 comment="PBE SrBi3Pb, relaxed" formation_energy_ev_per_atom=0.61 final_energy_ev_per_atom=-2.796 crystal_system=cubic magmom_total_mub_per_cell=0.0 polymorph_energy_mev_per_atom=920 pbc="T T T"
Pb 3.029 3.029 3.029
Sr 0.000 0.000 0.000
Bi 0.000 3.029 0.000
Bi 0.000 0.000 3.029
Bi 3.029 0.000 0.000